# PmVAs2O8

A relaxed structure of PmVAs2O8 (GGA+U, the Alexandria database).

Crystal system: tetragonal
Density in g/cm3: 5.0
V in A^3/atom: 13.2
E_tot in eV/atom: -6.925

Cell and atoms, written as CIF:
```
data_PmVAs2O8
_space_group_name_H-M_alt 'I -4 m 2'
_space_group_IT_number 119
_space_group_name_Hall 'I -4 -2'
_cell_length_a 7.1288
_cell_length_b 7.1288
_cell_length_c 6.2281
_cell_angle_alpha 90.00
_cell_angle_beta 90.00
_cell_angle_gamma 90.00
loop_
_atom_site_label
_atom_site_type_symbol
_atom_site_fract_x
_atom_site_fract_y
_atom_site_fract_z
Pm1 Pm 0.0000 0.0000 0.0000
V1 V 0.0000 0.5000 0.7500
As1 As 0.0000 0.0000 0.5000
As2 As 0.0000 0.5000 0.2500
O1 O 0.0000 0.1886 0.6741
O2 O 0.0000 0.3257 0.0591
```